# 1
Density functional theory data (GGA-PBE) for a geometry-optimized Sr2ScTc structure.

Lattice parameters (Å, degrees): 5.999 5.999 3.497 90.00 90.00 115.34
Positions (direct):
Sr 0.000 0.500 0.000
Sr 0.500 0.000 0.000
Sc 0.000 0.000 0.500
Tc 0.500 0.500 0.500

Results
E_form: 851.9 meV/atom
E above lowest polymorph: 590.9 meV per atom
Density of states at the Fermi level: 1.1702 states/eV/atom
Magnetic moment: 1.20 μB/f.u.

# 2
Density functional theory data (GGA-PBE) for a geometry-optimized CuRuRh2 structure.

Lattice parameters (Å, degrees): 5.468 5.468 5.468 103.84 103.84 121.43
Positions (direct):
Cu 0.000 0.000 0.000
Cu 0.750 0.250 0.500
Ru 0.250 0.750 0.500
Ru 0.500 0.500 0.000
Rh 0.132 0.625 0.007
Rh 0.375 0.382 0.507
Rh 0.618 0.125 0.993
Rh 0.875 0.868 0.493

Results
E_form: 624.7 meV/atom
E above lowest polymorph: 596.2 meV per atom
Density of states at the Fermi level: 1.5636 states/eV/atom
Magnetic moment: 0.00 μB/f.u.

# 3
Density functional theory data (GGA-PBE) for a geometry-optimized PrNiH structure.

Lattice parameters (Å, degrees): 4.143 4.691 5.165 90.00 110.08 90.00
Positions (direct):
Pr 0.153 0.250 0.290
Pr 0.847 0.750 0.710
Ni 0.499 0.250 0.888
Ni 0.501 0.750 0.112
H 0.291 0.750 0.333
H 0.709 0.250 0.667

Results
E above lowest polymorph: 0.0 meV per atom
Density of states at the Fermi level: 0.2086 states/eV/atom
Magnetic moment: 0.00 μB/f.u.

# 4
Density functional theory data (GGA-PBE) for a geometry-optimized Tb3Tc2Ge4 structure.

Lattice parameters (Å, degrees): 5.884 5.884 8.279 108.99 108.99 43.46
Positions (direct):
Tb 0.000 0.000 0.000
Tb 0.373 0.373 0.302
Tb 0.627 0.627 0.698
Tc 0.320 0.320 0.644
Tc 0.680 0.680 0.356
Ge 0.093 0.093 0.410
Ge 0.294 0.294 0.924
Ge 0.706 0.706 0.076
Ge 0.907 0.907 0.590

Results
E_form: -639.3 meV/atom
Density of states at the Fermi level: 0.5660 states/eV/atom
Magnetic moment: 0.00 μB/f.u.

# 5
Density functional theory data (GGA-PBE) for a geometry-optimized KPaRhS3 structure.

Lattice parameters (Å, degrees): 8.674 4.027 9.154 90.00 108.62 90.00
Positions (direct):
K 0.203 0.250 0.247
K 0.797 0.750 0.753
Pa 0.311 0.750 0.828
Pa 0.689 0.250 0.172
Rh 0.094 0.250 0.592
Rh 0.906 0.750 0.408
S 0.123 0.250 0.863
S 0.208 0.750 0.529
S 0.459 0.750 0.148
S 0.541 0.250 0.852
S 0.792 0.250 0.471
S 0.877 0.750 0.137

Results
Total energy: -37.91 eV/f.u.
Density of states at the Fermi level: 0.7338 states/eV/atom
Magnetic moment: 0.00 μB/f.u.

# 6
Density functional theory data (GGA-PBE) for a geometry-optimized Li3Np3AlSe8 structure.

Lattice parameters (Å, degrees): 7.948 7.948 7.948 61.25 61.25 61.25
Positions (direct):
Li 0.000 0.500 0.500
Li 0.500 0.000 0.500
Li 0.500 0.500 0.000
Np 0.000 0.000 0.500
Np 0.000 0.500 0.000
Np 0.500 0.000 0.000
Al 0.500 0.500 0.500
Se 0.252 0.252 0.252
Se 0.268 0.268 0.728
Se 0.268 0.728 0.268
Se 0.272 0.732 0.732
Se 0.728 0.268 0.268
Se 0.732 0.272 0.732
Se 0.732 0.732 0.272
Se 0.748 0.748 0.748

Results
Total energy: -92.67 eV/f.u.
Density of states at the Fermi level: 1.7986 states/eV/atom
Magnetic moment: 11.00 μB/f.u.

# 7
Density functional theory data (GGA-PBE) for a geometry-optimized BiOsPdPb2 structure.

Lattice parameters (Å, degrees): 5.922 5.922 4.977 90.00 90.00 90.00
Positions (direct):
Bi 0.000 0.000 0.000
Os 0.500 0.500 0.500
Pd 0.000 0.000 0.500
Pb 0.000 0.500 0.000
Pb 0.500 0.000 0.000

Results
E_form: 1708.6 meV/atom
Density of states at the Fermi level: 1.4254 states/eV/atom
Magnetic moment: 2.71 μB/f.u.

# 8
Density functional theory data (GGA-PBE) for a geometry-optimized Zr2NiGe2 structure.

Lattice parameters (Å, degrees): 6.452 6.452 4.160 90.00 90.00 90.00
Positions (direct):
Zr 0.172 0.328 0.000
Zr 0.328 0.828 0.000
Zr 0.672 0.172 0.000
Zr 0.828 0.672 0.000
Ni 0.000 0.000 0.500
Ni 0.500 0.500 0.500
Ge 0.138 0.638 0.500
Ge 0.362 0.138 0.500
Ge 0.638 0.862 0.500
Ge 0.862 0.362 0.500

Results
E_form: -673.8 meV/atom
Density of states at the Fermi level: 0.6417 states/eV/atom
Magnetic moment: 0.00 μB/f.u.

# 9
Density functional theory data (GGA-PBE) for a geometry-optimized La2HoTh3Se6 structure.

Lattice parameters (Å, degrees): 9.487 9.487 8.459 104.52 104.52 25.60
Positions (direct):
La 0.165 0.165 0.333
La 0.835 0.835 0.667
Ho 0.500 0.500 0.000
Th 0.170 0.170 0.835
Th 0.500 0.500 0.500
Th 0.830 0.830 0.165
Se 0.003 0.003 0.762
Se 0.333 0.333 0.415
Se 0.339 0.339 0.923
Se 0.661 0.661 0.077
Se 0.667 0.667 0.585
Se 0.997 0.997 0.238

Results
Total energy: -78.06 eV/f.u.
Density of states at the Fermi level: 0.7425 states/eV/atom
Magnetic moment: 0.00 μB/f.u.

# 10
Density functional theory data (GGA-PBE) for a geometry-optimized Ce2YHo3Tm6 structure.

Lattice parameters (Å, degrees): 6.074 6.074 11.600 95.01 95.01 119.96
Positions (direct):
Ce 0.167 0.833 0.000
Ce 0.833 0.167 0.000
Y 0.500 0.500 0.000
Ho 0.000 0.000 0.500
Ho 0.334 0.666 0.500
Ho 0.666 0.334 0.500
Tm 0.080 0.416 0.750
Tm 0.248 0.248 0.250
Tm 0.416 0.080 0.750
Tm 0.584 0.920 0.250
Tm 0.752 0.752 0.750
Tm 0.920 0.584 0.250

Results
E_form: 49.5 meV/atom
Density of states at the Fermi level: 1.7772 states/eV/atom
Magnetic moment: 1.72 μB/f.u.

# 11
Density functional theory data (GGA-PBE) for a geometry-optimized RbTi2Te structure.

Lattice parameters (Å, degrees): 10.820 10.820 10.820 153.46 153.46 37.88
Positions (direct):
Rb 0.375 0.625 0.750
Rb 0.625 0.375 0.250
Ti 0.000 0.000 0.000
Ti 0.000 0.000 0.500
Ti 0.000 0.500 0.000
Ti 0.500 0.000 0.500
Te 0.125 0.875 0.250
Te 0.875 0.125 0.750

Results
Total energy: -18.17 eV/f.u.
Density of states at the Fermi level: 1.1348 states/eV/atom
Magnetic moment: 0.49 μB/f.u.

# 12
Density functional theory data (GGA-PBE) for a geometry-optimized LaLuHgBi structure.

Lattice parameters (Å, degrees): 5.467 5.467 5.467 60.00 60.00 60.00
Positions (direct):
La 0.000 0.000 0.000
Lu 0.500 0.500 0.500
Hg 0.750 0.750 0.750
Bi 0.250 0.250 0.250

Results
E_form: -511.8 meV/atom
Density of states at the Fermi level: 0.9053 states/eV/atom
Magnetic moment: 0.00 μB/f.u.